A plane-wave DFT calculation with PBE was carried out for a relaxed structure of NpTlB2F8.

Results
The crystal system is trigonal. For the formation energy (no corrections), the calculation gives -2447 meV per atom.

POSCAR file:
```
NpTlB2F8
1.0
4.5578 0.0000 0.0000
2.2789 3.9472 0.0000
2.2789 1.3157 11.5832
Np Tl B F
1 1 2 8
Direct
0.0000 0.0000 0.0000
0.5000 0.5000 0.5000
0.2601 0.2601 0.2198
0.7399 0.7399 0.7802
0.2199 0.2199 0.3402
0.5768 0.2537 0.1770
0.7801 0.7801 0.6598
0.9925 0.5768 0.1770
0.0075 0.4232 0.8230
0.2537 0.9925 0.1770
0.7463 0.0075 0.8230
0.4232 0.7463 0.8230
```

A plane-wave DFT calculation with PBE was carried out for a relaxed structure of K2Mg5Si12O30.

Results
The crystal system is hexagonal. For the formation energy (no corrections), the calculation gives -2777 meV per atom.

POSCAR file:
```
K2Mg5Si12O30
1.0
10.3490 0.0000 0.0000
-5.1745 8.9625 0.0000
0.0000 0.0000 14.3406
K Mg Si O
4 10 24 60
Direct
0.0000 0.0000 0.0000
0.0000 0.0000 0.5000
0.3333 0.6667 0.7500
0.6667 0.3333 0.2500
0.3333 0.6667 0.0048
0.3333 0.6667 0.4952
0.6667 0.3333 0.5048
0.6667 0.3333 0.9952
0.4936 0.4936 0.0000
0.5064 0.0000 0.0000
0.0000 0.5064 0.0000
0.4936 0.4936 0.5000
0.5064 0.0000 0.5000
0.0000 0.5064 0.5000
0.7619 0.6487 0.8616
0.3513 0.1131 0.8616
0.8869 0.2381 0.8616
0.7619 0.6487 0.6384
0.3513 0.1131 0.6384
0.8869 0.2381 0.6384
0.6487 0.7619 0.3616
0.1131 0.3513 0.3616
0.2381 0.8869 0.3616
0.6487 0.7619 0.1384
0.1131 0.3513 0.1384
0.2381 0.8869 0.1384
0.2343 0.3453 0.6377
0.6547 0.8889 0.6377
0.1111 0.7657 0.6377
0.2343 0.3453 0.8623
0.6547 0.8889 0.8623
0.1111 0.7657 0.8623
0.3453 0.2343 0.1377
0.8889 0.6547 0.1377
0.7657 0.1111 0.1377
0.3453 0.2343 0.3623
0.8889 0.6547 0.3623
0.7657 0.1111 0.3623
0.6556 0.5045 0.9229
0.4955 0.1511 0.9229
0.8489 0.3444 0.9229
0.6556 0.5045 0.5771
0.4955 0.1511 0.5771
0.8489 0.3444 0.5771
0.5045 0.6556 0.4229
0.1511 0.4955 0.4229
0.3444 0.8489 0.4229
0.5045 0.6556 0.0771
0.1511 0.4955 0.0771
0.3444 0.8489 0.0771
0.3381 0.4963 0.5805
0.5037 0.8418 0.5805
0.1582 0.6619 0.5805
0.3381 0.4963 0.9195
0.5037 0.8418 0.9195
0.1582 0.6619 0.9195
0.4963 0.3381 0.0805
0.8418 0.5037 0.0805
0.6619 0.1582 0.0805
0.4963 0.3381 0.4195
0.8418 0.5037 0.4195
0.6619 0.1582 0.4195
0.9391 0.7191 0.8892
0.2809 0.2200 0.8892
0.7800 0.0609 0.8892
0.9391 0.7191 0.6108
0.2809 0.2200 0.6108
0.7800 0.0609 0.6108
0.7191 0.9391 0.3892
0.2200 0.2809 0.3892
0.0609 0.7800 0.3892
0.7191 0.9391 0.1108
0.2200 0.2809 0.1108
0.0609 0.7800 0.1108
0.0563 0.2697 0.6132
0.7303 0.7866 0.6132
0.2134 0.9437 0.6132
0.0563 0.2697 0.8868
0.7303 0.7866 0.8868
0.2134 0.9437 0.8868
0.2697 0.0563 0.1132
0.7866 0.7303 0.1132
0.9437 0.2134 0.1132
0.2697 0.0563 0.3868
0.7866 0.7303 0.3868
0.9437 0.2134 0.3868
0.7400 0.6155 0.7500
0.3845 0.1244 0.7500
0.8756 0.2600 0.7500
0.6155 0.7400 0.2500
0.1244 0.3845 0.2500
0.2600 0.8756 0.2500
0.2558 0.3802 0.7500
0.6198 0.8756 0.7500
0.1244 0.7442 0.7500
0.3802 0.2558 0.2500
0.8756 0.6198 0.2500
0.7442 0.1244 0.2500
```

A plane-wave DFT calculation with PBE was carried out for a relaxed structure of RbZn2CdIn8.

Results
The crystal system is monoclinic. The total energy comes out at -25.5 eV/f.u.

POSCAR file:
```
RbZn2CdIn8
1.0
-3.5283 3.3744 3.9096
-4.4768 -3.3874 2.7575
3.2458 -2.0688 9.4705
Rb Zn Cd In
1 2 1 8
Direct
0.0000 0.0000 0.5000
0.5794 0.5794 0.2543
0.4206 0.4206 0.7457
0.0000 0.0000 0.0000
0.9015 0.4029 0.7582
0.7208 0.7208 0.9747
0.6562 0.6562 0.4936
0.3438 0.3438 0.5064
0.2792 0.2792 0.0253
0.4029 0.9015 0.7582
0.5971 0.0985 0.2418
0.0985 0.5971 0.2418
```

A plane-wave DFT calculation with PBE was carried out for a relaxed structure of Al2RuAu.

Results
The crystal system is tetragonal. The total energy comes out at -22.3 eV/f.u.

POSCAR file:
```
Al2RuAu
1.0
-1.0851 -2.0720 -2.1032
2.5524 0.4662 -1.7761
2.8128 -4.4030 2.8866
Ru Au Al
1 1 2
Direct
0.5000 0.5000 0.7500
0.5000 0.5000 0.2500
0.0000 0.0000 0.9778
0.0000 0.0000 0.5222
```

A plane-wave DFT calculation with PBE was carried out for a relaxed structure of Dy2PdS.

Results
The crystal system is orthorhombic. For the formation energy (no corrections), the calculation gives -1443 meV per atom.

POSCAR file:
```
Dy2PdS
1.0
-3.2964 -1.1353 1.9890
-1.7887 -0.6599 -3.3412
4.6685 -10.4411 1.7776
Dy Pd S
4 2 2
Direct
0.7500 0.6877 0.3755
0.2500 0.3123 0.6245
0.7500 0.9295 0.8590
0.2500 0.0705 0.1410
0.2500 0.4546 0.9091
0.7500 0.5454 0.0909
0.2500 0.1923 0.3847
0.7500 0.8077 0.6153
```

A plane-wave DFT calculation with PBE was carried out for a relaxed structure of LiTc4.

Results
The crystal system is cubic. The total energy comes out at -37.9 eV/f.u.

POSCAR file:
```
LiTc4
1.0
-0.7899 4.0208 0.0530
-1.8769 -0.3209 -3.6287
-3.5562 -0.7237 1.9034
Tc Li
4 1
Direct
0.0000 0.0000 0.0000
0.5000 0.0000 0.5000
0.0000 0.5000 0.5000
0.5000 0.5000 0.0000
0.5000 0.5000 0.5000
```

A plane-wave DFT calculation with PBE was carried out for a relaxed structure of SrSb3Au3.

Results
The crystal system is hexagonal. For the formation energy (no corrections), the calculation gives -363 meV per atom.

POSCAR file:
```
SrSb3Au3
1.0
4.8376 0.0000 0.0000
0.0000 8.1587 -4.6593
0.0000 -0.0454 9.3975
Sr Sb Au
2 6 6
Direct
0.7500 0.3334 0.6667
0.2500 0.6666 0.3333
0.7500 0.7592 0.0558
0.7500 0.2966 0.2409
0.7500 0.9443 0.7035
0.2500 0.2408 0.9442
0.2500 0.7034 0.7591
0.2500 0.0557 0.2965
0.7500 0.9309 0.3979
0.7500 0.4668 0.0690
0.7500 0.6022 0.5332
0.2500 0.0691 0.6021
0.2500 0.5332 0.9310
0.2500 0.3978 0.4668
```

A plane-wave DFT calculation with PBE was carried out for a relaxed structure of La3Ga2Rh3.

Results
The crystal system is orthorhombic. The total energy comes out at -49.3 eV/f.u.

POSCAR file:
```
La3Ga2Rh3
1.0
-1.5980 1.8489 3.2820
-4.7297 -0.8803 -4.3578
-2.9188 -12.6998 5.7333
La Ga Rh
6 4 6
Direct
0.9221 0.8442 0.3888
0.0779 0.1558 0.8888
0.9221 0.8442 0.1112
0.0779 0.1558 0.6112
0.6549 0.3097 0.2500
0.3451 0.6903 0.7500
0.7753 0.5506 0.9213
0.2247 0.4494 0.4213
0.7753 0.5506 0.5787
0.2247 0.4494 0.0787
0.6050 0.2100 0.4562
0.3950 0.7900 0.9562
0.6050 0.2100 0.0438
0.3950 0.7900 0.5438
0.3210 0.6419 0.2500
0.6790 0.3581 0.7500
```

A plane-wave DFT calculation with PBE was carried out for a relaxed structure of SrYSbI2.

Results
The crystal system is tetragonal. For the formation energy (no corrections), the calculation gives -872 meV per atom.

POSCAR file:
```
SrYSbI2
1.0
5.8830 0.0000 0.0000
0.0000 5.8830 0.0000
0.0000 0.0000 6.0840
I Sb Y Sr
2 1 1 1
Direct
0.0000 0.5000 0.0000
0.5000 0.0000 0.0000
0.0000 0.0000 0.5000
0.0000 0.0000 0.0000
0.5000 0.5000 0.5000
```

A plane-wave DFT calculation with PBE was carried out for a relaxed structure of MgZn2Ni.

Results
The crystal system is tetragonal. The total energy comes out at -10.5 eV/f.u.

POSCAR file:
```
MgZn2Ni
1.0
-0.4209 2.9395 -0.8597
-2.1395 0.3394 2.2055
4.3486 1.7764 3.9450
Ni Zn Mg
1 2 1
Direct
0.5000 0.5000 0.7500
0.0000 0.0000 0.9613
0.0000 0.0000 0.5387
0.5000 0.5000 0.2500
```

A plane-wave DFT calculation with PBE was carried out for a relaxed structure of V2CdBMo.

Results
The crystal system is tetragonal. The total energy comes out at -26.4 eV/f.u.

POSCAR file:
```
V2CdBMo
1.0
4.4546 0.0000 0.0000
0.0000 5.3197 0.0000
0.0000 0.0000 4.4546
Mo V B Cd
1 2 1 1
Direct
0.0000 0.0000 0.0000
0.0000 0.0000 0.5000
0.5000 0.0000 0.0000
0.5000 0.5000 0.5000
0.0000 0.5000 0.0000
```

A plane-wave DFT calculation with PBE was carried out for a relaxed structure of Th8Fe2Re.

Results
The crystal system is triclinic. The total energy comes out at -88.0 eV/f.u.

POSCAR file:
```
Th8Fe2Re
1.0
5.8683 -0.0146 -0.8605
-2.0629 7.3156 -2.8622
-0.0141 -0.4164 7.0283
Re Fe Th
1 2 8
Direct
0.9995 0.0030 0.0030
0.5310 0.7332 0.3189
0.4688 0.2730 0.6871
0.6386 0.3676 0.0719
0.5589 0.0885 0.2940
0.1901 0.3920 0.3641
0.0064 0.1850 0.7416
0.9937 0.8214 0.2648
0.8100 0.6141 0.6420
0.4409 0.9177 0.7121
0.3617 0.6386 0.9343
```

| no. | M_tot (μB/cell) |
| --- | --- |
| 1 | 5.53 |
| 2 | 0.00 |
| 3 | 0.00 |
| 4 | 0.00 |
| 5 | 0.00 |
| 6 | 0.00 |
| 7 | 0.00 |
| 8 | 0.00 |
| 9 | 0.00 |
| 10 | 0.00 |
| 11 | 0.01 |
| 12 | 0.00 |